(1)
Zn2PtW PBE optimized geometry; DFT formation energy = 0.0546 eV/atom; E = -5.33 eV per atom; space group = Pmmm, No. 47; Fermi-level density of states = 2.28 states/eV per cell; relative energy among the computed polymorphs = 166 meV per atom
1.0
2.759 0.000 0.000
0.000 4.854 0.000
0.000 0.000 4.593
Zn Pt W
2 1 1
Direct
0.000 0.000 0.000
0.500 0.500 0.000
0.500 0.000 0.500
0.000 0.500 0.500

***

(2)
AcS2O6 PBE optimized geometry; E = -6.35 eV per atom; space group = R3m, No. 160; Fermi-level density of states = 1.58 states/eV per cell; relative energy among the computed polymorphs = 187 meV per atom
1.0
5.803 0.000 0.000
2.902 5.026 0.000
2.902 1.675 6.715
O S Ac
6 2 1
Direct
0.435 0.435 0.261
0.609 0.609 0.739
0.868 0.435 0.261
0.609 0.042 0.739
0.042 0.609 0.739
0.435 0.868 0.261
0.731 0.731 0.806
0.602 0.602 0.195
0.333 0.333 0.000

***

(3)
HfMo2Os2 PBE optimized geometry; DFT formation energy = 0.1171 eV/atom; E = -10.70 eV per atom; space group = I4/mmm, No. 139; Fermi-level density of states = 3.91 states/eV per cell; relative energy among the computed polymorphs = 65 meV per atom
1.0
-1.782 -2.821 -2.461
3.618 -1.997 -0.332
-0.323 -5.372 2.898
Hf Os Mo
1 2 2
Direct
0.000 0.000 0.000
0.613 0.613 0.774
0.387 0.387 0.226
0.750 0.250 0.500
0.250 0.750 0.500

***

(4)
SiBP2Au PBE optimized geometry; E = -5.32 eV per atom; space group = Cm, No. 8; Fermi-level density of states = 0.22 states/eV per cell; relative energy among the computed polymorphs = 22 meV per atom
1.0
-5.091 -0.570 -1.110
0.480 -3.289 -0.514
2.894 -1.201 10.378
B P Si Au
2 4 2 2
Direct
0.593 0.000 0.314
0.593 0.500 0.814
0.767 0.500 0.422
0.201 0.500 0.805
0.201 0.000 0.305
0.767 0.000 0.922
0.220 0.500 0.446
0.220 0.000 0.946
0.690 0.000 0.134
0.690 0.500 0.634

***

(5)
PuMnSe3 PBE optimized geometry; E = -7.62 eV per atom; space group = C2/c, No. 15; Fermi-level density of states = 38.69 states/eV per cell; relative energy among the computed polymorphs = 95 meV per atom
1.0
6.961 0.166 0.124
0.710 8.374 -0.488
0.710 1.897 8.171
Pu Se Mn
4 12 4
Direct
0.250 0.337 0.663
0.750 0.017 0.983
0.750 0.663 0.337
0.250 0.983 0.017
0.458 0.959 0.313
0.561 0.718 0.029
0.054 0.660 0.591
0.939 0.971 0.282
0.958 0.313 0.959
0.554 0.591 0.660
0.946 0.340 0.409
0.446 0.409 0.340
0.042 0.687 0.041
0.542 0.041 0.687
0.439 0.282 0.971
0.061 0.029 0.718
0.676 0.158 0.390
0.824 0.610 0.842
0.324 0.842 0.610
0.176 0.390 0.158

***

(6)
ZrZnRe2 PBE optimized geometry; DFT formation energy = 0.1365 eV/atom; E = -8.54 eV per atom; space group = P4/mmm, No. 123; Fermi-level density of states = 2.36 states/eV per cell
1.0
-1.917 -2.083 1.832
0.215 -2.333 -2.427
4.785 -2.184 2.524
Zr Re Zn
1 2 1
Direct
0.500 0.500 0.750
0.000 0.000 0.464
0.000 0.000 0.036
0.500 0.500 0.250

***

(7)
PrCuHg PBE optimized geometry; DFT formation energy = -0.3055 eV/atom; E = -3.36 eV per atom; space group = P-6m2, No. 187; Fermi-level density of states = 2.21 states/eV per cell
1.0
3.714 0.000 0.000
0.000 4.683 0.000
0.000 -2.342 4.056
Hg Cu Pr
1 1 1
Direct
0.167 0.000 0.000
0.167 0.333 0.667
0.667 0.667 0.333

***

(8)
Bi2Sb PBE optimized geometry; E = -3.87 eV per atom; space group = Cmcm, No. 63; Fermi-level density of states = 3.16 states/eV per cell; relative energy among the computed polymorphs = 0 meV per atom
1.0
5.864 0.000 0.000
-2.932 5.081 0.000
0.000 0.000 6.471
Bi Sb
4 2
Direct
0.501 0.001 0.750
0.499 0.999 0.250
0.166 0.333 0.250
0.834 0.667 0.750
0.833 0.666 0.250
0.167 0.334 0.750

***

(9)
MgTlP2 PBE optimized geometry; DFT formation energy = -0.0808 eV/atom; E = -3.78 eV per atom; space group = Cm, No. 8; Fermi-level density of states = 1.44 states/eV per cell; relative energy among the computed polymorphs = 27 meV per atom
1.0
-0.581 -4.944 5.067
2.743 -3.982 5.204
-0.927 2.820 2.699
P Mg Tl
2 1 1
Direct
0.089 0.089 0.045
0.237 0.237 0.223
0.711 0.711 0.722
0.463 0.463 0.510

***

(10)
Ti2GaHg PBE optimized geometry; DFT formation energy = -0.2517 eV/atom; E = -5.03 eV per atom; space group = P4/mmm, No. 123; Fermi-level density of states = 4.16 states/eV per cell
1.0
2.877 0.000 0.000
0.000 2.877 0.000
0.000 0.000 8.310
Ga Ti Hg
1 2 1
Direct
0.500 0.500 0.000
0.000 0.000 0.774
0.000 0.000 0.226
0.500 0.500 0.500

***

(11)
SmH8Ru2 PBE optimized geometry; E = -4.74 eV per atom; space group = C2/m, No. 12; Fermi-level density of states = 2.46 states/eV per cell
1.0
3.546 0.174 0.261
-0.346 5.083 -0.173
-0.346 -2.117 4.624
H Ru Sm
8 2 1
Direct
0.500 0.289 0.711
0.983 0.969 0.676
0.017 0.324 0.031
0.246 0.572 0.572
0.983 0.676 0.969
0.017 0.031 0.324
0.754 0.428 0.428
0.500 0.711 0.289
0.000 0.326 0.674
0.000 0.674 0.326
0.500 0.000 0.000

***

(12)
LaTlTc2 PBE optimized geometry; DFT formation energy = 0.5816 eV/atom; E = -6.42 eV per atom; space group = C2/m, No. 12; Fermi-level density of states = 5.60 states/eV per cell; relative energy among the computed polymorphs = 476 meV per atom
1.0
-1.524 -2.885 3.609
1.734 -2.391 3.867
-0.884 3.689 4.111
Tc Tl La
2 1 1
Direct
0.986 0.986 0.961
0.514 0.514 0.539
0.250 0.250 0.250
0.750 0.750 0.750